Crystalline Tl2InHg4Pb at its relaxed geometry. Source: Alexandria, functional PBE-GGA.

## Properties
Magnetization: 0.00 μB/cell
Energy of formation: 0.025 eV per atom

Unit cell a=6.322 b=12.729 c=5.834 alpha=90.00 beta=90.00 gamma=90.00
Sites, in units of the cell vectors:
Tl  0.250  0.195  0.000
Tl  0.250  0.805  0.500
Tl  0.750  0.195  0.000
Tl  0.750  0.805  0.500
In  0.000  0.317  0.498
In  0.500  0.683  0.998
Hg  0.000  0.435  0.998
Hg  0.000  0.561  0.500
Hg  0.248  0.064  0.500
Hg  0.252  0.936  0.000
Hg  0.500  0.439  0.000
Hg  0.500  0.565  0.498
Hg  0.748  0.936  0.000
Hg  0.752  0.064  0.500
Pb  0.000  0.689  0.001
Pb  0.500  0.311  0.501